1.
# PBE-GGA TbCe2PuS5, relaxed
# M_tot (μB/f.u.): 8.95
# Formation energy (no corrections) (eV/atom): -1.3971
# E_tot (eV/cell): -64.041
data_TbCe2PuS5
_chemical_formula_sum 'Tb1 Ce2 Pu1 S5'
_cell_length_a 4.927
_cell_length_b 4.927
_cell_length_c 10.478
_cell_angle_alpha 90.00
_cell_angle_beta 90.00
_cell_angle_gamma 90.00
_symmetry_space_group_name_H-M 'P 1'
_symmetry_Int_Tables_number 1
_symmetry_space_group_name_Hall 'P 1'
loop_
_atom_site_label
_atom_site_type_symbol
_atom_site_fract_x
_atom_site_fract_y
_atom_site_fract_z
Ce1 Ce 0.500 0.500 0.295
Ce2 Ce 0.500 0.500 0.705
S1 S 0.000 0.000 0.247
S2 S 0.000 0.000 0.753
S3 S 0.500 0.000 0.500
S4 S 0.000 0.500 0.500
S5 S 0.500 0.500 0.000
Tb1 Tb 0.000 0.000 0.500
Pu1 Pu 0.000 0.000 0.000



2.
# PBE-GGA CePuTeS2, relaxed
# M_tot (μB/f.u.): 6.00
# Formation energy (no corrections) (eV/atom): -1.4558
# E_tot (eV/cell): -38.941
data_CePuTeS2
_chemical_formula_sum 'Ce1 Pu1 Te1 S2'
_cell_length_a 4.461
_cell_length_b 4.461
_cell_length_c 7.470
_cell_angle_alpha 107.37
_cell_angle_beta 107.37
_cell_angle_gamma 90.00
_symmetry_space_group_name_H-M 'P 1'
_symmetry_Int_Tables_number 1
_symmetry_space_group_name_Hall 'P 1'
loop_
_atom_site_label
_atom_site_type_symbol
_atom_site_fract_x
_atom_site_fract_y
_atom_site_fract_z
Ce1 Ce 0.136 0.136 0.271
Pu1 Pu 0.863 0.863 0.726
Te1 Te 0.500 0.500 0.000
S1 S 0.251 0.751 0.501
S2 S 0.751 0.251 0.501



3.
# PBE-GGA CePuTeS, relaxed
# M_tot (μB/f.u.): 5.01
# Formation energy (no corrections) (eV/atom): -1.5416
# E_tot (eV/cell): -33.701
data_CePuTeS
_chemical_formula_sum 'Ce1 Pu1 Te1 S1'
_cell_length_a 4.149
_cell_length_b 4.149
_cell_length_c 7.493
_cell_angle_alpha 73.93
_cell_angle_beta 73.93
_cell_angle_gamma 60.00
_symmetry_space_group_name_H-M 'P 1'
_symmetry_Int_Tables_number 1
_symmetry_space_group_name_Hall 'P 1'
loop_
_atom_site_label
_atom_site_type_symbol
_atom_site_fract_x
_atom_site_fract_y
_atom_site_fract_z
Ce1 Ce 0.262 0.262 0.214
S1 S 0.003 0.003 0.992
Te1 Te 0.498 0.498 0.506
Pu1 Pu 0.737 0.737 0.788



4.
# PBE-GGA Ce2Pu3ThS6, relaxed
# M_tot (μB/f.u.): 18.00
# Formation energy (no corrections) (eV/atom): -1.8776
# E_tot (eV/cell): -109.579
data_Ce2Pu3ThS6
_chemical_formula_sum 'Ce2 Pu3 Th1 S6'
_cell_length_a 3.984
_cell_length_b 7.993
_cell_length_c 8.921
_cell_angle_alpha 103.06
_cell_angle_beta 102.90
_cell_angle_gamma 90.00
_symmetry_space_group_name_H-M 'P 1'
_symmetry_Int_Tables_number 1
_symmetry_space_group_name_Hall 'P 1'
loop_
_atom_site_label
_atom_site_type_symbol
_atom_site_fract_x
_atom_site_fract_y
_atom_site_fract_z
Th1 Th 0.500 0.000 0.000
Pu1 Pu 0.500 0.500 0.000
Pu2 Pu 0.167 0.833 0.333
Pu3 Pu 0.833 0.167 0.667
Ce1 Ce 0.166 0.333 0.333
Ce2 Ce 0.834 0.667 0.667
S1 S 0.335 0.412 0.670
S2 S 0.669 0.079 0.338
S3 S 0.665 0.588 0.330
S4 S 0.002 0.743 0.004
S5 S 0.331 0.921 0.662
S6 S 0.998 0.257 0.996